# Ac2Ga12Pd

An optimized crystal structure of Ac2Ga12Pd (PBE, Alexandria via LeMat-Bulk).

Computed properties:
**V**: 627.3 Å³ per cell
**DFT total energy**: -112.42 eV per cell
**N(E_F)**: 9.89 states/eV/cell

abc: 6.3114 6.3114 15.7484
angles: 90.00 90.00 90.00
Fractional coordinates of all 30 atoms:
Ac 0.5000 0.0000 0.2446
Ac 0.0000 0.5000 0.2446
Ac 0.0000 0.5000 0.7554
Ac 0.5000 0.0000 0.7554
Ga 0.5000 0.5000 0.8183
Ga 0.0000 0.0000 0.8183
Ga 0.7502 0.7498 0.9142
Ga 0.2502 0.7502 0.9142
Ga 0.0000 0.0000 0.3455
Ga 0.2498 0.7498 0.0858
Ga 0.8252 0.3252 0.5683
Ga 0.5000 0.5000 0.3455
Ga 0.2498 0.2502 0.9142
Ga 0.7498 0.7502 0.0858
Ga 0.3252 0.1748 0.5683
Ga 0.6748 0.1748 0.4317
Ga 0.0000 0.0000 0.6545
Ga 0.1748 0.3252 0.4317
Ga 0.2502 0.2498 0.0858
Ga 0.8252 0.6748 0.4317
Ga 0.6748 0.8252 0.5683
Ga 0.0000 0.0000 0.1817
Ga 0.1748 0.6748 0.5683
Ga 0.5000 0.5000 0.6545
Ga 0.7498 0.2498 0.9142
Ga 0.5000 0.5000 0.1817
Ga 0.3252 0.8252 0.4317
Ga 0.7502 0.2502 0.0858
Pd 0.5000 0.0000 0.0000
Pd 0.0000 0.5000 0.0000

# KPu2ZnS4

An optimized crystal structure of KPu2ZnS4 (PBE, Alexandria via LeMat-Bulk).

Computed properties:
**Energy relative to the elements, uncorrected**: -1.403 eV/atom
**V**: 389.1 Å³ per cell
**N(E_F)**: 34.25 states/eV/cell

abc: 4.0142 7.2222 13.9718
angles: 90.00 90.00 106.14
Fractional coordinates of all 16 atoms:
K 0.1093 0.2185 0.7500
K 0.8907 0.7815 0.2500
Pu 0.3687 0.7373 0.5531
Pu 0.6313 0.2627 0.0531
Pu 0.6313 0.2627 0.4469
Pu 0.3687 0.7373 0.9469
Zn 0.8366 0.6731 0.7500
Zn 0.1634 0.3269 0.2500
S 0.2601 0.5202 0.1128
S 0.7399 0.4798 0.6128
S 0.7399 0.4798 0.8872
S 0.2601 0.5202 0.3872
S 0.0000 0.0000 0.5000
S 0.0000 0.0000 0.0000
S 0.4294 0.8587 0.7500
S 0.5706 0.1413 0.2500

# Nd2BeSiNi6

An optimized crystal structure of Nd2BeSiNi6 (PBE, Alexandria via LeMat-Bulk).

Computed properties:
**Energy relative to the elements, uncorrected**: -0.227 eV/atom
**V**: 154.7 Å³ per cell
**N(E_F)**: 9.30 states/eV/cell

abc: 6.0260 6.0260 6.0260
angles: 60.00 60.00 90.00
Fractional coordinates of all 10 atoms:
Nd 0.2500 0.7500 0.5000
Nd 0.7500 0.2500 0.5000
Be 0.5000 0.5000 0.0000
Si 0.0000 0.0000 0.0000
Ni 0.2607 0.7393 0.0000
Ni 0.7393 0.7393 0.0000
Ni 0.2607 0.2607 0.4786
Ni 0.7393 0.2607 0.0000
Ni 0.2607 0.2607 0.0000
Ni 0.7393 0.7393 0.5214

# AsP2Au

An optimized crystal structure of AsP2Au (PBE, Alexandria via LeMat-Bulk).

Computed properties:
**V**: 74.7 Å³ per cell
**DFT total energy**: -18.37 eV per cell
**N(E_F)**: 1.33 states/eV/cell

abc: 3.9127 3.5472 5.3925
angles: 90.00 94.03 90.00
Fractional coordinates of all 4 atoms:
As 0.1857 0.0000 0.9619
P 0.6312 0.5000 0.4281
P 0.5965 0.5000 0.0153
Au 0.1264 0.0000 0.4633

Question: N(E_F) of number 2 (KPu2ZnS4)?
Answer: 34.25 states/eV/cell